Entry from Alexandria via LeMat-Bulk: a relaxed K2ZnAs crystal (GGA-PBE).

Cell: 5.6085 5.6085 5.6085 Å, 60.00 60.00 60.00°
Positions (direct):
K1 0.2500 0.2500 0.2500
K2 0.7500 0.7500 0.7500
As1 0.5000 0.5000 0.5000
Zn1 0.0000 0.0000 0.0000

E_tot: -2.0216 eV per atom
magnetization: 0.0 μB per formula unit
E above lowest polymorph: 1.07 eV per formula unit

Entry from Alexandria via LeMat-Bulk: a relaxed PmCu3Ge2 crystal (GGA-PBE).

Cell: 4.0539 7.8777 7.2722 Å, 114.52 90.00 104.91°
Positions (direct):
Pm1 0.8515 0.7029 0.9293
Pm2 0.1485 0.2971 0.0707
Cu1 0.3115 0.6229 0.5438
Cu2 0.9620 0.9241 0.6209
Cu3 0.5937 0.1874 0.6671
Cu4 0.4063 0.8126 0.3329
Cu5 0.0380 0.0759 0.3791
Cu6 0.6885 0.3771 0.4562
Ge1 0.4782 0.9565 0.8150
Ge2 0.5218 0.0435 0.1850
Ge3 0.8060 0.6119 0.3063
Ge4 0.1940 0.3881 0.6937

E_tot: -4.7756 eV per atom
magnetization: 0.0 μB per formula unit

Entry from Alexandria via LeMat-Bulk: a relaxed Tm11Zn9Cu4 crystal (GGA-PBE).

Cell: 3.5620 12.3258 12.3258 Å, 112.40 90.00 90.00°
Positions (direct):
Tm1 0.0000 0.5859 0.9266
Tm2 0.0000 0.4141 0.0734
Tm3 0.0000 0.9266 0.5859
Tm4 0.0000 0.0734 0.4141
Tm5 0.0000 0.6380 0.3620
Tm6 0.0000 0.3620 0.6380
Tm7 0.0000 0.8326 0.1674
Tm8 0.0000 0.1674 0.8326
Tm9 0.0000 0.0000 0.0000
Tm10 0.0000 0.7139 0.7139
Tm11 0.0000 0.2861 0.2861
Zn1 0.5000 0.6316 0.1568
Zn2 0.5000 0.3684 0.8432
Zn3 0.5000 0.1568 0.6316
Zn4 0.5000 0.8432 0.3684
Zn5 0.5000 0.7870 0.9351
Zn6 0.5000 0.2130 0.0649
Zn7 0.5000 0.9351 0.7870
Zn8 0.5000 0.0649 0.2130
Zn9 0.5000 0.5000 0.5000
Cu1 0.5000 0.5500 0.7426
Cu2 0.5000 0.4500 0.2574
Cu3 0.5000 0.7426 0.5500
Cu4 0.5000 0.2574 0.4500

E_tot: -3.5244 eV per atom
magnetization: 0.0 μB per formula unit